A plane-wave DFT calculation with PBE was carried out for a geometry-optimized BeZn2Sn structure.

a = 4.5999 Å, b = 4.5999 Å, c = 4.5999 Å
α = 60.00°, β = 60.00°, γ = 60.00°
Last column: nearest neighbours and their distance in Å.
Fractional positions:
Be (0.2500, 0.2500, 0.2500)  4 Zn 2.82, 4 Sn 2.82
Sn (0.5000, 0.5000, 0.5000)  4 Zn 2.82, 4 Be 2.82
Zn (0.0000, 0.0000, 0.0000)  4 Be 2.82, 4 Zn 2.82
Zn (0.7500, 0.7500, 0.7500)  4 Sn 2.82, 4 Zn 2.82

Results
* crystal system: cubic
* raw total energy: -2.143 eV/atom